No. 1
Computed, not measured: crystalline NiAsWAu2 at its relaxed geometry at the PBE level of DFT.

a = 4.7322 Å, b = 4.7322 Å, c = 4.4682 Å
α = 90.00°, β = 90.00°, γ = 90.00°
With the nearest neighbours (Å) after each atom.
Atoms (fractional coordinates):
Ni  0.0000  0.0000  0.0000  2 W 2.23, 4 Au 2.37
As  0.5000  0.5000  0.5000  8 Au 3.25, 4 W 3.35
W  0.0000  0.0000  0.5000  2 Ni 2.23
Au  0.0000  0.5000  0.0000  2 Ni 2.37
Au  0.5000  0.0000  0.0000  2 Ni 2.37

ΔH_f (0 K) in kJ per mole of atoms: 110.1
Magnetization in μB/f.u.: 1.285

---

No. 2
Computed, not measured: crystalline Y2Ni4As3Au at its relaxed geometry at the PBE level of DFT.

a = 4.0688 Å, b = 4.0688 Å, c = 10.0025 Å
α = 90.00°, β = 90.00°, γ = 90.00°
With the nearest neighbours (Å) after each atom.
Atoms (fractional coordinates):
Y  0.0000  0.5000  0.2422  8 Ni 3.09-3.16, 6 As 3.09-3.28, 2 Au 3.28
Y  0.5000  0.0000  0.7578  8 Ni 3.09-3.16, 6 As 3.09-3.28, 2 Au 3.28
Ni  0.0000  0.0000  0.0000  4 As 2.41
Ni  0.0000  0.5000  0.6448  3 As 2.27-2.50, 2 Au 2.50
Ni  0.5000  0.0000  0.3552  3 As 2.27-2.50, 2 Au 2.50
Ni  0.5000  0.5000  0.0000  4 As 2.41
As  0.0000  0.5000  0.8716  5 Ni 2.27-2.41
As  0.5000  0.0000  0.1284  5 Ni 2.27-2.41
As  0.5000  0.5000  0.5000  4 Ni 2.50
Au  0.0000  0.0000  0.5000  4 Ni 2.50

ΔH_f (0 K) in kJ per mole of atoms: -67.1
Magnetization in μB/f.u.: 0.000

---

No. 3
Computed, not measured: crystalline ZnNi2AsAu at its relaxed geometry at the PBE level of DFT.

a = 4.7205 Å, b = 4.7205 Å, c = 4.6760 Å
α = 90.00°, β = 90.00°, γ = 90.00°
With the nearest neighbours (Å) after each atom.
Atoms (fractional coordinates):
Zn  0.0000  0.0000  0.0000  2 Au 2.34
Ni  0.0000  0.5000  0.5000  2 Au 2.36
Ni  0.5000  0.0000  0.5000  2 Au 2.36
As  0.5000  0.5000  0.0000  8 Ni 3.32, 4 Zn 3.34
Au  0.0000  0.0000  0.5000  2 Zn 2.34, 4 Ni 2.36

ΔH_f (0 K) in kJ per mole of atoms: 93.0
Magnetization in μB/f.u.: 0.403